DFT (GGA-PBE) results for a geometry-optimized CaU5As6 structure.

Results
**E_form**: -798 meV per atom
**Crystal system**: monoclinic

```
CaU5As6
1.0
3.5592 -6.1873 0.0000
3.5592 6.1873 0.0000
-2.3840 0.0000 6.6872
Ca U As
1 5 6
Cartesian
0.0000 0.0000 0.0000 Ca
2.3673 4.1480 3.3436 U
3.5592 2.0610 0.0000 U
2.3673 0.0000 3.3436 U
3.5592 -2.0610 0.0000 U
2.3673 -4.1480 3.3436 U
1.2039 2.0925 1.6904 As
0.0256 0.0000 5.0022 As
1.2039 -2.0925 1.6904 As
3.5306 2.0925 4.9968 As
4.7089 0.0000 1.6850 As
3.5306 -2.0925 4.9968 As
```

DFT (GGA-PBE) results for a geometry-optimized MgReTc2Bi structure.

Results
**E_form**: 1141 meV per atom
**Crystal system**: tetragonal

```
MgReTc2Bi
1.0
4.7361 0.0000 0.0000
0.0000 4.7361 0.0000
0.0000 0.0000 5.0176
Mg Re Tc Bi
1 1 2 1
Cartesian
0.0000 0.0000 0.0000 Mg
0.0000 0.0000 2.5088 Re
0.0000 2.3680 2.5088 Tc
2.3680 0.0000 2.5088 Tc
2.3680 2.3680 0.0000 Bi
```

DFT (GGA-PBE) results for a geometry-optimized TlSbTe2 structure.

Results
**Offset from the most stable computed form**: 386 meV per atom
**ΔE_f (raw)**: 15.1 kJ per mole of atoms
**Crystal system**: orthorhombic

```
TlSbTe2
1.0
3.8403 0.0000 0.0000
0.0000 5.4682 0.0000
0.0000 0.0000 5.5636
Tl Sb Te
1 1 2
Cartesian
0.0000 0.0000 0.0000 Tl
1.9201 2.7341 0.0000 Sb
0.0000 2.7341 2.7818 Te
1.9201 0.0000 2.7818 Te
```

DFT (GGA-PBE) results for a geometry-optimized Ca2TaW structure.

Results
**Offset from the most stable computed form**: 322 meV per atom
**E_form**: 721 meV per atom
**Crystal system**: orthorhombic

```
Ca2TaW
1.0
3.3164 0.0000 0.0000
0.0000 5.6965 0.0000
0.0000 0.0000 10.6935
Ca Ta W
4 2 2
Cartesian
0.0000 0.0000 0.0000 Ca
0.0000 2.8482 2.2112 Ca
1.6582 0.0000 7.5579 Ca
1.6582 2.8482 5.3468 Ca
0.0000 0.0000 4.5912 Ta
1.6582 2.8482 9.9380 Ta
0.0000 2.8482 8.0607 W
1.6582 0.0000 2.7140 W
```

DFT (GGA-PBE) results for a geometry-optimized Ho12Co6Pd structure.

Results
**E_form**: -267 meV per atom
**Crystal system**: cubic

```
Ho12Co6Pd
1.0
-4.7597 4.7597 4.7597
4.7597 -4.7597 4.7597
4.7597 4.7597 -4.7597
Ho Co Pd
12 6 1
Cartesian
4.7597 2.9136 -1.9045 Ho
2.8552 0.0000 1.8461 Ho
6.6642 0.0000 1.8461 Ho
1.8461 2.8552 0.0000 Ho
2.9136 -1.9045 4.7597 Ho
0.0000 1.8461 2.8552 Ho
4.7597 2.9136 1.9045 Ho
1.8461 6.6642 0.0000 Ho
2.9136 1.9045 4.7597 Ho
-1.9045 4.7597 2.9136 Ho
1.9045 4.7597 2.9136 Ho
0.0000 1.8461 6.6642 Ho
4.7597 1.0912 0.0000 Co
4.7597 0.0000 3.6684 Co
3.6684 4.7597 0.0000 Co
1.0912 0.0000 4.7597 Co
0.0000 4.7597 1.0912 Co
0.0000 3.6684 4.7597 Co
0.0000 0.0000 0.0000 Pd
```

DFT (GGA-PBE) results for a geometry-optimized Zr12Tl3Au structure.

Results
**E_form**: -150 meV per atom
**Crystal system**: tetragonal

```
Zr12Tl3Au
1.0
4.4627 0.0000 0.0000
0.0000 4.4627 0.0000
0.0000 0.0000 17.8391
Zr Tl Au
12 3 1
Cartesian
0.0000 0.0000 0.0000 Zr
0.0000 0.0000 4.3970 Zr
0.0000 0.0000 8.9195 Zr
0.0000 0.0000 13.4421 Zr
0.0000 2.2313 2.1501 Zr
0.0000 2.2313 6.6693 Zr
0.0000 2.2313 11.1698 Zr
0.0000 2.2313 15.6890 Zr
2.2313 0.0000 2.1501 Zr
2.2313 0.0000 6.6693 Zr
2.2313 0.0000 11.1698 Zr
2.2313 0.0000 15.6890 Zr
2.2313 2.2313 4.3955 Tl
2.2313 2.2313 8.9195 Tl
2.2313 2.2313 13.4436 Tl
2.2313 2.2313 0.0000 Au
```

DFT (GGA-PBE) results for a geometry-optimized Re2Os structure.

Results
**Offset from the most stable computed form**: 134 meV per atom
**E_form**: 59 meV per atom
**Crystal system**: tetragonal

```
Re2Os
1.0
2.7463 0.0000 0.0000
0.0000 2.7463 0.0000
0.0000 0.0000 11.7597
Re Os
4 2
Cartesian
0.0000 0.0000 0.0000 Re
0.0000 0.0000 3.8933 Re
0.0000 0.0000 7.8664 Re
1.3731 1.3731 5.8798 Re
1.3731 1.3731 1.9490 Os
1.3731 1.3731 9.8107 Os
```

DFT (GGA-PBE) results for a geometry-optimized BaAg3Ge structure.

Results
**Offset from the most stable computed form**: 0 meV per atom
**E_form**: -229 meV per atom
**Crystal system**: monoclinic

```
BaAg3Ge
1.0
6.8674 0.0000 0.0000
0.0000 6.8894 0.0000
-3.4170 0.0000 5.2048
Ba Ag Ge
2 6 2
Cartesian
0.0000 0.0000 0.0000 Ba
3.4337 3.4447 0.0000 Ba
0.0056 0.0000 4.0366 Ag
1.7230 1.7226 2.5022 Ag
1.7230 5.1668 2.5022 Ag
3.4393 3.4447 4.0366 Ag
5.1567 1.7221 2.5022 Ag
5.1567 5.1673 2.5022 Ag
0.0029 3.4447 1.4789 Ge
3.4366 0.0000 1.4789 Ge
```

Q: What is the formula in the fourth record?
A: Ca2TaW